First-principles (PBEsol) data for a relaxed structure of Ba2FeAg, as listed in Alexandria via LeMat-Bulk.

Lattice parameters (Å, degrees): 3.8593 3.8701 8.0285 90.00 90.00 90.00
Last column: nearest neighbours and their distance in Å.
Sites, in units of the cell vectors:
Ba: 0.0000 0.0000 0.2402  4 Fe 3.34, 4 Ag 3.44
Ba: 0.0000 0.0000 0.7598  4 Fe 3.34, 4 Ag 3.44
Fe: 0.5000 0.5000 0.0000  8 Ba 3.34
Ag: 0.5000 0.5000 0.5000  8 Ba 3.44

## Properties
DOS at the Fermi energy in states/eV per atom: 1.78
Electronic total energy in eV/atom: -3.72
E_form in meV per atom: 425.1
Excess energy over the best structure of this formula in the dataset in meV/atom: 137
Symmetry: Pmmm